1.
An optimized crystal structure of Y2MnGa3Ni4, computed with PBE.

Calculated values
The total magnetization comes out at 3.23 μB/cell. The formation enthalpy at 0 K is -10.8 kcal/mol of atoms. The calculation puts the density of states at the Fermi level at 9.4 states/eV/f.u. Its crystal system is tetragonal. The raw total energy comes out at -59.00 eV/f.u.

a = 3.9283 Å, b = 3.9283 Å, c = 10.5438 Å
α = 90.00°, β = 90.00°, γ = 90.00°
Last column: nearest neighbours and their distance in Å.
Element x y z (fractional)
Ga (0.5000, 0.0000, 0.8693)  5 Ni 2.40-2.41
Ga (0.0000, 0.0000, 0.5000)  4 Ni 2.46
Ga (0.0000, 0.5000, 0.1307)  5 Ni 2.40-2.41
Ni (0.5000, 0.0000, 0.6412)  3 Ga 2.41-2.46, 2 Mn 2.46
Ni (0.5000, 0.5000, 0.0000)  4 Ga 2.40
Ni (0.0000, 0.0000, 0.0000)  4 Ga 2.40
Ni (0.0000, 0.5000, 0.3588)  3 Ga 2.41-2.46, 2 Mn 2.46
Mn (0.5000, 0.5000, 0.5000)  4 Ni 2.46
Y (0.0000, 0.5000, 0.7475)  8 Ni 3.00-3.31, 6 Ga 3.06-3.27, 2 Mn 3.27
Y (0.5000, 0.0000, 0.2525)  8 Ni 3.00-3.31, 6 Ga 3.06-3.27, 2 Mn 3.27

---

2.
An optimized crystal structure of Mn2Zn2GaNi5, computed with PBE.

Calculated values
The total magnetization comes out at 17.56 μB/cell. The formation enthalpy at 0 K is 1.0 kcal/mol of atoms. The calculation puts the density of states at the Fermi level at 5.9 states/eV/f.u. Its crystal system is tetragonal. The raw total energy comes out at -52.38 eV/f.u.

a = 3.7165 Å, b = 8.4035 Å, c = 8.4035 Å
α = 90.00°, β = 90.00°, γ = 90.00°
Last column: nearest neighbours and their distance in Å.
Element x y z (fractional)
Zn (0.0000, 0.6704, 0.1704)  3 Mn 2.42-2.52
Zn (0.0000, 0.8296, 0.6704)  3 Mn 2.42-2.52
Zn (0.0000, 0.1704, 0.3296)  3 Mn 2.42-2.52
Zn (0.0000, 0.3296, 0.8296)  3 Mn 2.42-2.52
Ni (0.5000, 0.9145, 0.1920)  2 Mn 2.43, 4 Ni 2.50-2.69, 2 Ga 2.56
Ni (0.5000, 0.5855, 0.6920)  2 Mn 2.43, 4 Ni 2.50-2.69, 2 Ga 2.56
Ni (0.5000, 0.3080, 0.5855)  2 Mn 2.43, 4 Ni 2.50-2.69, 2 Ga 2.56
Ni (0.5000, 0.8080, 0.9145)  2 Mn 2.43, 4 Ni 2.50-2.69, 2 Ga 2.56
Ni (0.5000, 0.0000, 0.5000)  4 Mn 2.38
Ni (0.5000, 0.5000, 0.0000)  4 Mn 2.38
Ni (0.5000, 0.4145, 0.3080)  2 Mn 2.43, 4 Ni 2.50-2.69, 2 Ga 2.56
Ni (0.5000, 0.6920, 0.4145)  2 Mn 2.43, 4 Ni 2.50-2.69, 2 Ga 2.56
Ni (0.5000, 0.0855, 0.8080)  2 Mn 2.43, 4 Ni 2.50-2.69, 2 Ga 2.56
Ni (0.5000, 0.1920, 0.0855)  2 Mn 2.43, 4 Ni 2.50-2.69, 2 Ga 2.56
Ga (0.0000, 0.0000, 0.0000)  8 Ni 2.56
Ga (0.0000, 0.5000, 0.5000)  8 Ni 2.56
Mn (0.0000, 0.3742, 0.1258)  6 Ni 2.38-2.43, 3 Zn 2.42-2.52
Mn (0.0000, 0.1258, 0.6258)  6 Ni 2.38-2.43, 3 Zn 2.42-2.52
Mn (0.0000, 0.6258, 0.8742)  6 Ni 2.38-2.43, 3 Zn 2.42-2.52
Mn (0.0000, 0.8742, 0.3742)  6 Ni 2.38-2.43, 3 Zn 2.42-2.52

---

3.
An optimized crystal structure of NpMn4Ga, computed with PBE.

Calculated values
The total magnetization comes out at 6.07 μB/cell. The formation enthalpy at 0 K is 4.4 kcal/mol of atoms. The calculation puts the density of states at the Fermi level at 9.0 states/eV/f.u. Its crystal system is cubic. The raw total energy comes out at -51.50 eV/f.u.

a = 4.8944 Å, b = 4.8944 Å, c = 4.8944 Å
α = 60.00°, β = 60.00°, γ = 60.00°
Last column: nearest neighbours and their distance in Å.
Element x y z (fractional)
Mn (0.6263, 0.6263, 0.1210)  6 Mn 2.42-2.47
Mn (0.1210, 0.6263, 0.6263)  6 Mn 2.42-2.47
Mn (0.6263, 0.6263, 0.6263)  6 Mn 2.42-2.47
Mn (0.6263, 0.1210, 0.6263)  6 Mn 2.42-2.47
Ga (0.0000, 0.0000, 0.0000)  12 Mn 2.87, 4 Np 3.00
Np (0.2500, 0.2500, 0.2500)  12 Mn 2.87, 4 Ga 3.00